Entry 1:
Computed, not measured: a geometry-optimized TbPm2Dy4Mg structure at the GGA-PBE level of DFT.

POSCAR file:
```
TbPm2Dy4Mg
1.0
4.969 0.000 0.000
0.000 4.980 0.000
0.000 0.000 10.129
Tb Pm Dy Mg
1 2 4 1
Direct
0.000 0.000 0.000
0.000 0.000 0.500
0.500 0.500 0.000
0.000 0.500 0.251
0.000 0.500 0.749
0.500 0.000 0.251
0.500 0.000 0.749
0.500 0.500 0.500
```

Summary:
Final energy (eV per atom): -4.2416
Space group: Pmmm

***

Entry 2:
Computed, not measured: a geometry-optimized K3ScTl structure at the GGA-PBE level of DFT.

POSCAR file:
```
K3ScTl
1.0
6.614 0.000 0.000
0.000 6.614 0.000
0.000 0.000 6.614
K Sc Tl
3 1 1
Direct
0.000 0.000 0.500
0.000 0.500 0.000
0.500 0.000 0.000
0.500 0.500 0.500
0.000 0.000 0.000
```

Summary:
Excess energy over the best structure of this formula in the dataset (kJ per mole of atoms): 0.0
Space group: Pm-3m

***

Entry 3:
Computed, not measured: a geometry-optimized NaCoS2Cl structure at the GGA-PBE level of DFT.

POSCAR file:
```
NaCoS2Cl
1.0
4.999 0.000 0.000
0.000 4.999 0.000
0.000 0.000 4.882
Na Co S Cl
1 1 2 1
Direct
0.000 0.000 0.000
0.500 0.500 0.500
0.000 0.500 0.000
0.500 0.000 0.000
0.000 0.000 0.500
```

Summary:
Excess energy over the best structure of this formula in the dataset (kJ per mole of atoms): 126.6
Space group: P4/mmm
Uncorrected formation energy (eV/atom): 0.936

***

Entry 4:
Computed, not measured: a geometry-optimized Nd2DyTh3Bi6 structure at the GGA-PBE level of DFT.

POSCAR file:
```
Nd2DyTh3Bi6
1.0
9.988 -2.293 0.000
9.988 2.293 0.000
-2.081 0.000 8.908
Nd Dy Th Bi
2 1 3 6
Direct
0.167 0.167 0.334
0.833 0.833 0.666
0.500 0.500 0.000
0.169 0.169 0.834
0.500 0.500 0.500
0.831 0.831 0.166
0.001 0.001 0.756
0.334 0.334 0.417
0.336 0.336 0.918
0.664 0.664 0.082
0.666 0.666 0.583
0.999 0.999 0.244
```

Summary:
Final energy (eV per atom): -5.7197
Space group: C2/m

***

Entry 5:
Computed, not measured: a geometry-optimized RbBa3C structure at the GGA-PBE level of DFT.

POSCAR file:
```
RbBa3C
1.0
6.128 0.000 0.000
0.000 6.128 0.000
0.000 0.000 6.128
Rb Ba C
1 3 1
Direct
0.000 0.000 0.000
0.000 0.500 0.500
0.500 0.000 0.500
0.500 0.500 0.000
0.500 0.500 0.500
```

Summary:
Excess energy over the best structure of this formula in the dataset (kJ per mole of atoms): 0.0
Space group: Pm-3m

***

Entry 6:
Computed, not measured: a geometry-optimized MgFe2Ru structure at the GGA-PBE level of DFT.

POSCAR file:
```
MgFe2Ru
1.0
0.000 3.014 3.014
3.014 0.000 3.014
3.014 3.014 0.000
Mg Fe Ru
1 2 1
Direct
0.000 0.000 0.000
0.500 0.500 0.500
0.750 0.750 0.750
0.250 0.250 0.250
```

Summary:
Final energy (eV per atom): -6.7448
Space group: F-43m

***

Number 1: spin magnetization 0.00 μB per cell. Number 2: spin magnetization 1.24 μB per cell. Number 3: spin magnetization 4.83 μB per cell. Number 4: spin magnetization 0.00 μB per cell. Number 5: spin magnetization 0.99 μB per cell. Number 6: spin magnetization 5.98 μB per cell.